--- a ---
A plane-wave DFT calculation with GGA-PBE was carried out for crystalline DyHoErTl at its relaxed geometry.

abc: 4.824 4.830 4.834
angles: 90.00 90.00 90.00
Space group Pmmm (No. 47)
Symmetry-distinct sites (fractional):
Dy 0.000 0.000 0.000 (multiplicity 1)
Ho 0.500 0.500 0.000 (multiplicity 1)
Er 0.500 0.000 0.500 (multiplicity 1)
Tl 0.000 0.500 0.500 (multiplicity 1)

Output
Density of states at the Fermi level, states/eV per cell: 5.3

=====

--- b ---
A plane-wave DFT calculation with GGA-PBE was carried out for crystalline DyHoErTl at its relaxed geometry.

abc: 7.696 7.696 7.696
angles: 90.00 90.00 90.00
Space group F-43m (No. 216)
Symmetry-distinct sites (fractional):
Dy 0.000 0.000 0.000 (multiplicity 4)
Ho 0.000 0.000 0.500 (multiplicity 4)
Er 0.250 0.250 0.250 (multiplicity 4)
Tl 0.250 0.250 0.750 (multiplicity 4)

Output
Density of states at the Fermi level, states/eV per cell: 22.7

=====

Energies relative to the minimum, meV/atom: a 0; b 149

=====

--- a ---
A plane-wave DFT calculation with GGA-PBE was carried out for crystalline DyHoErTm at its relaxed geometry.

abc: 7.924 7.924 7.924
angles: 90.00 90.00 90.00
Space group F-43m (No. 216)
Symmetry-distinct sites (fractional):
Dy 0.000 0.000 0.000 (multiplicity 4)
Ho 0.000 0.000 0.500 (multiplicity 4)
Er 0.250 0.250 0.250 (multiplicity 4)
Tm 0.250 0.250 0.750 (multiplicity 4)

Output
Density of states at the Fermi level, states/eV per cell: 39.7

=====

--- b ---
A plane-wave DFT calculation with GGA-PBE was carried out for crystalline DyHoErTm at its relaxed geometry.

abc: 4.958 4.958 9.922
angles: 90.00 90.00 90.00
Space group I-4m2 (No. 119)
Symmetry-distinct sites (fractional):
Dy 0.000 0.000 0.000 (multiplicity 2)
Ho 0.000 0.500 0.250 (multiplicity 2)
Er 0.000 0.000 0.500 (multiplicity 2)
Tm 0.000 0.500 0.750 (multiplicity 2)

Output
Density of states at the Fermi level, states/eV per cell: 11.5

=====

Energies relative to the minimum, meV/atom: a 117; b 0

=====

--- a ---
A plane-wave DFT calculation with GGA-PBE was carried out for crystalline DyYHoEr at its relaxed geometry.

abc: 4.999 4.999 10.005
angles: 90.00 90.00 90.00
Space group I-4m2 (No. 119)
Symmetry-distinct sites (fractional):
Dy 0.000 0.000 0.000 (multiplicity 2)
Y 0.000 0.500 0.750 (multiplicity 2)
Ho 0.000 0.500 0.250 (multiplicity 2)
Er 0.000 0.000 0.500 (multiplicity 2)

Output
Density of states at the Fermi level, states/eV per cell: 11.8

=====

--- b ---
A plane-wave DFT calculation with GGA-PBE was carried out for crystalline DyYHoEr at its relaxed geometry.

abc: 7.990 7.990 7.990
angles: 90.00 90.00 90.00
Space group F-43m (No. 216)
Symmetry-distinct sites (fractional):
Dy 0.000 0.000 0.000 (multiplicity 4)
Y 0.000 0.000 0.500 (multiplicity 4)
Ho 0.250 0.250 0.250 (multiplicity 4)
Er 0.250 0.250 0.750 (multiplicity 4)

Output
Density of states at the Fermi level, states/eV per cell: 42.3

=====

Energies relative to the minimum, meV/atom: a 0; b 117

=====

--- a ---
A plane-wave DFT calculation with GGA-PBE was carried out for crystalline Dy2ErI at its relaxed geometry.

abc: 3.7486 3.7486 31.0842
angles: 90.00 90.00 120.00
Space group R3m (No. 160, hexagonal axes)
Symmetry-distinct sites (fractional):
Dy 0.0000 0.0000 0.0000 (multiplicity 3)
Dy 0.0000 0.0000 0.1740 (multiplicity 3)
Er 0.0000 0.0000 0.7541 (multiplicity 3)
I 0.0000 0.0000 0.5871 (multiplicity 3)

Output
Density of states at the Fermi level, states/eV per cell: 17.8

=====

--- b ---
A plane-wave DFT calculation with GGA-PBE was carried out for crystalline Dy2ErI at its relaxed geometry.

abc: 3.5826 3.5826 35.0999
angles: 90.00 90.00 120.00
Space group R-3m (No. 166, hexagonal axes)
Symmetry-distinct sites (fractional):
Dy 0.0000 0.0000 0.0954 (multiplicity 6)
Er 0.0000 0.0000 0.0000 (multiplicity 3)
I 0.0000 0.0000 0.5000 (multiplicity 3)

Output
Density of states at the Fermi level, states/eV per cell: 18.1

=====

--- c ---
A plane-wave DFT calculation with GGA-PBE was carried out for crystalline Dy2ErI at its relaxed geometry.

abc: 3.622 3.622 9.448
angles: 90.00 90.00 90.00
Space group P4/mmm (No. 123)
Symmetry-distinct sites (fractional):
Dy 0.000 0.000 0.246 (multiplicity 2)
Er 0.500 0.500 0.500 (multiplicity 1)
I 0.500 0.500 0.000 (multiplicity 1)

Output
Density of states at the Fermi level, states/eV per cell: 4.5

=====

Energies relative to the minimum, meV/atom: a 0; b 347; c 64

=====

--- a ---
A plane-wave DFT calculation with GGA-PBE was carried out for crystalline Dy5Er2In4 at its relaxed geometry.

abc: 3.441 8.526 28.610
angles: 90.00 90.00 90.00
Space group Immm (No. 71)
Symmetry-distinct sites (fractional):
Dy 0.000 0.000 0.000 (multiplicity 2)
Dy 0.000 0.304 0.298 (multiplicity 8)
Er 0.000 0.500 0.404 (multiplicity 4)
In 0.000 0.179 0.500 (multiplicity 4)
In 0.000 0.500 0.197 (multiplicity 4)

Output
Density of states at the Fermi level, states/eV per cell: 27.1

=====

--- b ---
A plane-wave DFT calculation with GGA-PBE was carried out for crystalline Dy5Er2In4 at its relaxed geometry.

abc: 8.586 3.407 10.499
angles: 90.00 96.02 90.00
Space group P2/m (No. 10)
Symmetry-distinct sites (fractional):
Dy 0.000 0.000 0.000 (multiplicity 1)
Dy 0.035 0.000 0.332 (multiplicity 2)
Dy 0.337 0.000 0.856 (multiplicity 2)
Er 0.416 0.000 0.361 (multiplicity 2)
In 0.254 0.500 0.575 (multiplicity 2)
In 0.301 0.500 0.118 (multiplicity 2)

Output
Density of states at the Fermi level, states/eV per cell: 12.4

=====

Energies relative to the minimum, meV/atom: a 556; b 0

=====

--- a ---
A plane-wave DFT calculation with GGA-PBE was carried out for crystalline Dy3ErIn4 at its relaxed geometry.

abc: 3.439 6.828 19.315
angles: 90.00 90.00 90.00
Space group Immm (No. 71)
Symmetry-distinct sites (fractional):
Dy 0.000 0.000 0.000 (multiplicity 2)
Dy 0.000 0.500 0.225 (multiplicity 4)
Er 0.000 0.000 0.500 (multiplicity 2)
In 0.000 0.278 0.374 (multiplicity 8)

Output
Density of states at the Fermi level, states/eV per cell: 11.8

=====

--- b ---
A plane-wave DFT calculation with GGA-PBE was carried out for crystalline Dy3ErIn4 at its relaxed geometry.

abc: 3.753 3.753 15.017
angles: 90.00 90.00 90.00
Space group P4/mmm (No. 123)
Symmetry-distinct sites (fractional):
Dy 0.000 0.000 0.000 (multiplicity 1)
Dy 0.000 0.000 0.251 (multiplicity 2)
Er 0.000 0.000 0.500 (multiplicity 1)
In 0.500 0.500 0.126 (multiplicity 2)
In 0.500 0.500 0.377 (multiplicity 2)

Output
Density of states at the Fermi level, states/eV per cell: 4.6

=====

Energies relative to the minimum, meV/atom: a 155; b 0